VASP calculation (PBE-GGA) on KCr2In after structural relaxation.

Energy of formation from the pure elements (eV per formula unit): 1.84
ρ (Mg/m³): 4.81

a = 3.208 Å, b = 3.208 Å, c = 8.657 Å
α = 90.00°, β = 90.00°, γ = 90.00°
Atoms (fractional coordinates):
K1 0.000 0.000 0.000
Cr1 0.000 0.000 0.555
Cr2 0.500 0.500 0.672
In1 0.500 0.500 0.332

VASP calculation (PBE-GGA) on MgZnSn2 after structural relaxation.

Energy relative to the lowest polymorph listed for this composition (eV/atom): 0.069
Energy of formation from the pure elements (eV per formula unit): 0.28
ρ (Mg/m³): 5.57

a = 6.419 Å, b = 6.419 Å, c = 6.419 Å
α = 103.21°, β = 103.21°, γ = 122.88°
Atoms (fractional coordinates):
Mg1 0.000 0.000 0.000
Mg2 0.750 0.250 0.500
Zn1 0.250 0.750 0.500
Zn2 0.500 0.500 0.000
Sn1 0.160 0.625 0.035
Sn2 0.375 0.410 0.535
Sn3 0.590 0.125 0.965
Sn4 0.875 0.840 0.465

VASP calculation (PBE-GGA) on NaGaNiSn2 after structural relaxation.

Energy of formation from the pure elements (eV per formula unit): -0.21
ρ (Mg/m³): 5.38

a = 5.069 Å, b = 5.069 Å, c = 4.672 Å
α = 90.00°, β = 90.00°, γ = 90.00°
Atoms (fractional coordinates):
Na1 0.000 0.000 0.000
Ga1 0.500 0.500 0.000
Ni1 0.500 0.500 0.500
Sn1 0.000 0.500 0.500
Sn2 0.500 0.000 0.500

VASP calculation (PBE-GGA) on Pm2Pr3SmEr6 after structural relaxation.

Energy of formation from the pure elements (eV per formula unit): 0.18
ρ (Mg/m³): 7.93

a = 6.241 Å, b = 6.241 Å, c = 11.776 Å
α = 95.05°, β = 95.05°, γ = 119.99°
Atoms (fractional coordinates):
Pm1 0.167 0.833 0.000
Pm2 0.833 0.167 0.000
Pr1 0.000 0.000 0.500
Pr2 0.333 0.667 0.500
Pr3 0.667 0.333 0.500
Sm1 0.500 0.500 0.000
Er1 0.084 0.417 0.752
Er2 0.249 0.249 0.248
Er3 0.417 0.084 0.752
Er4 0.583 0.916 0.248
Er5 0.751 0.751 0.752
Er6 0.916 0.583 0.248

VASP calculation (PBE-GGA) on NaTb3Sm4Se8 after structural relaxation.

ρ (Mg/m³): 7.15
Uncorrected formation energy (meV/atom): -1772.8

a = 8.293 Å, b = 8.293 Å, c = 8.293 Å
α = 59.87°, β = 59.87°, γ = 59.87°
Atoms (fractional coordinates):
Na1 0.000 0.000 0.000
Tb1 0.000 0.500 0.500
Tb2 0.500 0.000 0.500
Tb3 0.500 0.500 0.000
Sm1 0.000 0.000 0.500
Sm2 0.000 0.500 0.000
Sm3 0.500 0.000 0.000
Sm4 0.500 0.500 0.500
Se1 0.247 0.247 0.748
Se2 0.247 0.748 0.247
Se3 0.252 0.252 0.252
Se4 0.252 0.753 0.753
Se5 0.748 0.247 0.247
Se6 0.748 0.748 0.748
Se7 0.753 0.252 0.753
Se8 0.753 0.753 0.252

VASP calculation (PBE-GGA) on HgPBr3 after structural relaxation.

Energy relative to the lowest polymorph listed for this composition (eV/atom): 0.277
ρ (Mg/m³): 5.62
Uncorrected formation energy (meV/atom): -4.6

a = 5.182 Å, b = 5.182 Å, c = 5.182 Å
α = 90.00°, β = 90.00°, γ = 90.00°
Atoms (fractional coordinates):
Hg1 0.000 0.000 0.000
P1 0.500 0.500 0.500
Br1 0.000 0.500 0.500
Br2 0.500 0.000 0.500
Br3 0.500 0.500 0.000